Record 1
The following is a DFT calculation (meta-GGA SCAN) of a crystal of ZrTa3Fe relaxed with PBEsol.

Output
Energy of formation from the pure elements, eV per formula unit: 11.217
DOS at the Fermi energy, states/eV/cell: 5.13

Geometry as POSCAR:
```
ZrTa3Fe
1.0
4.784 0.000 0.000
0.000 4.784 0.000
0.000 0.000 4.784
Fe Zr Ta
1 1 3
Direct
0.500 0.500 0.500
0.000 0.000 0.000
0.000 0.500 0.000
0.000 0.000 0.500
0.500 0.000 0.000
```



Record 2
The following is a DFT calculation (meta-GGA SCAN) of a crystal of TiRuNO2 relaxed with PBEsol.

Output
DOS at the Fermi energy, states/eV/cell: 2.51
Uncorrected energy, eV per formula unit: -76.35

Geometry as POSCAR:
```
TiRuNO2
1.0
3.711 0.000 0.000
0.000 3.711 0.000
0.000 0.000 4.068
Ru N O Ti
1 1 2 1
Direct
0.500 0.500 0.500
0.000 0.000 0.500
0.000 0.500 0.000
0.500 0.000 0.000
0.000 0.000 0.000
```



Q: Which value of DOS at the Fermi energy does entry 1 give?
A: 5.13 states/eV/cell